Material: MnOs2Br
Method: DFT, GGA-PBE
State: optimized geometry

Unit cell a=2.8383 b=4.7200 c=4.6342 alpha=90.00 beta=90.00 gamma=90.00
Last column: nearest neighbours and their distance in Å.
Element x y z (fractional)
1 Br 0.5000 0.0000 0.5000  4 Os 2.72, 4 Mn 2.75, 2 Br 2.84
2 Mn 0.0000 0.5000 0.5000  4 Os 2.72, 4 Br 2.75, 2 Mn 2.84
3 Os 0.0000 0.0000 0.0000  4 Br 2.72, 6 Os 2.75-2.84
4 Os 0.5000 0.5000 0.0000  4 Mn 2.72, 6 Os 2.75-2.84

ΔE to the lowest computed polymorph: 458.5 meV per atom
spin magnetization: 3.155 μB per formula unit
ΔE_f (raw): 1.03 eV/atom
space-group type: Pmmm (47)
raw total energy: -0.5359 Ry/atom

Material: MnOs2Br
Method: DFT, GGA-PBE
State: optimized geometry

Unit cell a=2.8263 b=2.8263 c=9.8755 alpha=90.00 beta=90.00 gamma=119.19
Last column: nearest neighbours and their distance in Å.
Element x y z (fractional)
1 Br 0.0000 0.0000 0.5484  2 Mn 2.58, 6 Br 2.83-2.86
2 Mn 0.5000 0.5000 0.7657  2 Br 2.58, 2 Os 2.59, 6 Mn 2.83-2.86
3 Os 0.0000 0.0000 0.9838  2 Mn 2.59, 8 Os 2.59-2.86
4 Os 0.5000 0.5000 0.2021  8 Os 2.59-2.86

ΔE to the lowest computed polymorph: 283.4 meV per atom
spin magnetization: 3.348 μB per formula unit
ΔE_f (raw): 0.86 eV/atom
space-group type: Cmm2 (35)
raw total energy: -0.5488 Ry/atom

Material: MnOs3Br
Method: DFT, GGA-PBE
State: optimized geometry

Unit cell a=4.4958 b=4.4958 c=4.4958 alpha=90.00 beta=90.00 gamma=90.00
Last column: nearest neighbours and their distance in Å.
Element x y z (fractional)
1 Mn 0.0000 0.0000 0.0000  6 Os 2.25
2 Os 0.0000 0.5000 0.0000  2 Mn 2.25
3 Os 0.0000 0.0000 0.5000  2 Mn 2.25
4 Os 0.5000 0.0000 0.0000  2 Mn 2.25
5 Br 0.5000 0.5000 0.5000  12 Os 3.18

ΔE to the lowest computed polymorph: 0.0 meV per atom
spin magnetization: 0.000 μB per formula unit
ΔE_f (raw): 2.14 eV/atom
space-group type: Pm-3m (221)
raw total energy: -0.4975 Ry/atom

Material: MnOs2Br
Method: DFT, GGA-PBE
State: optimized geometry

Unit cell a=3.5426 b=2.8880 c=7.0189 alpha=89.95 beta=90.00 gamma=90.00
Last column: nearest neighbours and their distance in Å.
Element x y z (fractional)
1 Br 0.0000 0.4990 0.4979  2 Mn 2.77, 2 Os 2.83, 2 Br 2.89
2 Mn 0.5000 0.5008 0.8018  5 Os 2.67-2.74, 2 Br 2.77, 2 Mn 2.89
3 Os 0.0000 0.0002 0.0177  4 Os 2.56, 4 Mn 2.74
4 Os 0.5000 0.5000 0.1826  4 Os 2.56, 1 Mn 2.67, 2 Br 2.83

ΔE to the lowest computed polymorph: 0.0 meV per atom
spin magnetization: 3.784 μB per formula unit
ΔE_f (raw): 0.58 eV/atom
space-group type: Pm (6)
raw total energy: -0.5696 Ry/atom

Material: MnOsBr
Method: DFT, GGA-PBE
State: optimized geometry

Unit cell a=4.2679 b=4.2679 c=4.2679 alpha=60.00 beta=60.00 gamma=60.00
Last column: nearest neighbours and their distance in Å.
Element x y z (fractional)
1 Br 0.0000 0.0000 0.0000  4 Os 2.61
2 Mn 0.5000 0.5000 0.5000  4 Os 2.61
3 Os 0.7500 0.7500 0.7500  4 Mn 2.61, 4 Br 2.61

ΔE to the lowest computed polymorph: 424.3 meV per atom
spin magnetization: 2.688 μB per formula unit
ΔE_f (raw): 1.05 eV/atom
space-group type: F-43m (216)
raw total energy: -0.4636 Ry/atom

Material: MnOs2Br
Method: DFT, GGA-PBE
State: optimized geometry

Unit cell a=10.5970 b=10.5970 c=10.5970 alpha=14.74 beta=14.74 gamma=14.74
Last column: nearest neighbours and their distance in Å.
Element x y z (fractional)
1 Br 0.2500 0.2500 0.2500  6 Br 2.72
2 Mn 0.7500 0.7500 0.7500  6 Os 2.53, 6 Mn 2.72
3 Os 0.0203 0.0203 0.0203  3 Mn 2.53, 6 Os 2.72
4 Os 0.4797 0.4797 0.4797  3 Mn 2.53, 6 Os 2.72

ΔE to the lowest computed polymorph: 166.0 meV per atom
spin magnetization: 0.000 μB per formula unit
ΔE_f (raw): 0.74 eV/atom
space-group type: R-3m (166)
raw total energy: -0.5574 Ry/atom

Material: MnOs2Br
Method: DFT, GGA-PBE
State: optimized geometry

Unit cell a=5.6582 b=5.6582 c=6.4523 alpha=63.99 beta=63.99 gamma=90.00
Last column: nearest neighbours and their distance in Å.
Element x y z (fractional)
1 Mn 0.5000 0.5000 0.0000  4 Os 2.24
2 Mn 0.2500 0.7500 0.5000  4 Os 2.24
3 Os 0.5863 0.1250 0.2500  2 Mn 2.24, 2 Br 2.50
4 Os 0.1637 0.6250 0.2500  2 Mn 2.24, 2 Br 2.50
5 Os 0.3750 0.4137 0.7500  2 Mn 2.24, 2 Br 2.50
6 Os 0.8750 0.8363 0.7500  2 Mn 2.24, 2 Br 2.50
7 Br 0.0000 0.0000 0.0000  4 Os 2.50
8 Br 0.7500 0.2500 0.5000  4 Os 2.50

ΔE to the lowest computed polymorph: 861.7 meV per atom
spin magnetization: 0.000 μB per formula unit
ΔE_f (raw): 1.44 eV/atom
space-group type: I-42d (122)
raw total energy: -0.5062 Ry/atom

Material: MnOs4Br
Method: DFT, GGA-PBE
State: optimized geometry

Unit cell a=5.2366 b=5.2366 c=5.2366 alpha=60.00 beta=60.00 gamma=60.00
Last column: nearest neighbours and their distance in Å.
Element x y z (fractional)
1 Mn 0.0000 0.0000 0.0000  12 Os 3.07, 4 Br 3.21
2 Os 0.8753 0.3749 0.3749  6 Os 2.62
3 Os 0.3749 0.3749 0.8753  6 Os 2.62
4 Os 0.3749 0.8753 0.3749  6 Os 2.62
5 Os 0.3749 0.3749 0.3749  6 Os 2.62
6 Br 0.7500 0.7500 0.7500  12 Os 3.07, 4 Mn 3.21

spin magnetization: 1.328 μB per formula unit
ΔE_f (raw): 1.28 eV/atom
space-group type: F-43m (216)
raw total energy: -0.5891 Ry/atom

Material: MnOs2Br
Method: DFT, GGA-PBE
State: optimized geometry

Unit cell a=2.9399 b=2.9399 c=7.5803 alpha=90.00 beta=90.00 gamma=90.00
Last column: nearest neighbours and their distance in Å.
Element x y z (fractional)
1 Br 0.0000 0.0000 0.4997  4 Mn 2.90, 4 Br 2.94, 4 Os 2.96
2 Mn 0.5000 0.5000 0.7664  4 Os 2.79, 4 Br 2.90, 4 Mn 2.94
3 Os 0.0000 0.0000 0.0128  4 Os 2.61, 4 Mn 2.79
4 Os 0.5000 0.5000 0.2211  4 Os 2.61

ΔE to the lowest computed polymorph: 60.6 meV per atom
spin magnetization: 4.331 μB per formula unit
ΔE_f (raw): 0.64 eV/atom
space-group type: P4mm (99)
raw total energy: -0.5651 Ry/atom

Material: MnOs2Br
Method: DFT, GGA-PBE
State: optimized geometry

Unit cell a=5.3951 b=5.3951 c=5.3951 alpha=148.78 beta=130.12 gamma=60.03
Last column: nearest neighbours and their distance in Å.
Element x y z (fractional)
1 Br 0.5088 0.5088 0.0000  6 Os 2.67-2.71, 2 Mn 2.74, 2 Br 2.90
2 Mn 0.2601 0.7601 0.5000  6 Os 2.70-2.97, 2 Br 2.74, 2 Mn 2.90
3 Os 0.9829 0.9829 0.0000  4 Os 2.63-2.90, 4 Br 2.71
4 Os 0.7482 0.2482 0.5000  4 Os 2.63-2.90, 2 Br 2.67, 4 Mn 2.70

ΔE to the lowest computed polymorph: 491.3 meV per atom
spin magnetization: 3.045 μB per formula unit
ΔE_f (raw): 1.07 eV/atom
space-group type: Imm2 (44)
raw total energy: -0.5335 Ry/atom

Material: MnOs2Br
Method: DFT, GGA-PBE
State: optimized geometry

Unit cell a=4.4421 b=4.4421 c=3.0501 alpha=90.00 beta=90.00 gamma=90.04
Last column: nearest neighbours and their distance in Å.
Element x y z (fractional)
1 Br 0.5000 0.0000 0.5000  8 Os 2.69
2 Mn 0.0000 0.5000 0.5000  8 Os 2.69
3 Os 0.0000 0.0000 0.0000  4 Mn 2.69, 4 Br 2.69
4 Os 0.5000 0.5000 0.0000  4 Br 2.69, 4 Mn 2.69

ΔE to the lowest computed polymorph: 596.5 meV per atom
spin magnetization: 3.580 μB per formula unit
ΔE_f (raw): 1.17 eV/atom
space-group type: P4/mmm (123)
raw total energy: -0.5257 Ry/atom

Material: MnOsBr
Method: DFT, GGA-PBE
State: optimized geometry

Unit cell a=6.0279 b=6.0279 c=6.0279 alpha=151.10 beta=151.10 gamma=41.33
Last column: nearest neighbours and their distance in Å.
Element x y z (fractional)
1 Br 0.0012 0.0012 0.0000  4 Os 2.99, 4 Br 3.01, 4 Mn 3.02
2 Mn 0.3112 0.3112 0.0000  4 Os 2.54
3 Os 0.6876 0.6876 0.0000  4 Mn 2.54

ΔE to the lowest computed polymorph: 126.1 meV per atom
spin magnetization: 2.611 μB per formula unit
ΔE_f (raw): 0.75 eV/atom
space-group type: I4mm (107)
raw total energy: -0.4856 Ry/atom

Material: MnOsBr4
Method: DFT, GGA-PBE
State: optimized geometry

Unit cell a=6.1178 b=6.1178 c=6.1178 alpha=60.00 beta=60.00 gamma=60.00
Last column: nearest neighbours and their distance in Å.
Element x y z (fractional)
1 Mn 0.7500 0.7500 0.7500  12 Br 3.59, 4 Os 3.75
2 Os 0.0000 0.0000 0.0000  12 Br 3.59, 4 Mn 3.75
3 Br 0.8766 0.3745 0.3745  6 Br 3.05-3.07
4 Br 0.3745 0.3745 0.8766  6 Br 3.05-3.07
5 Br 0.3745 0.8766 0.3745  6 Br 3.05-3.07
6 Br 0.3745 0.3745 0.3745  6 Br 3.05-3.07

spin magnetization: 8.088 μB per formula unit
ΔE_f (raw): 1.72 eV/atom
space-group type: F-43m (216)
raw total energy: -0.2053 Ry/atom

Material: MnOs2Br
Method: DFT, GGA-PBE
State: optimized geometry

Unit cell a=2.6823 b=2.6823 c=12.1517 alpha=90.00 beta=90.00 gamma=116.74
Last column: nearest neighbours and their distance in Å.
Element x y z (fractional)
1 Br 0.5000 0.5000 0.2500  6 Br 2.68-2.81
2 Mn 0.5000 0.5000 0.7500  4 Os 2.52, 6 Mn 2.68-2.81
3 Os 0.0000 0.0000 0.9216  2 Mn 2.52, 6 Os 2.68-2.81
4 Os 0.0000 0.0000 0.5784  2 Mn 2.52, 6 Os 2.68-2.81

ΔE to the lowest computed polymorph: 258.9 meV per atom
spin magnetization: 2.750 μB per formula unit
ΔE_f (raw): 0.83 eV/atom
space-group type: Cmmm (65)
raw total energy: -0.5506 Ry/atom

Material: MnOs2Br
Method: DFT, GGA-PBE
State: optimized geometry

Unit cell a=4.3036 b=4.3036 c=6.8274 alpha=90.42 beta=90.42 gamma=40.29
Last column: nearest neighbours and their distance in Å.
Element x y z (fractional)
1 Br 0.3597 0.3597 0.5209  1 Os 2.52, 2 Mn 2.58
2 Mn 0.7572 0.7572 0.8047  2 Br 2.58, 5 Os 2.66-2.86
3 Os 0.0555 0.0555 0.0207  3 Os 2.37-2.54
4 Os 0.3276 0.3276 0.1536  3 Os 2.37-2.54, 1 Br 2.52

ΔE to the lowest computed polymorph: 67.5 meV per atom
spin magnetization: 4.243 μB per formula unit
ΔE_f (raw): 0.64 eV/atom
space-group type: Cm (8)
raw total energy: -0.5646 Ry/atom

Material: MnOs2Br
Method: DFT, GGA-PBE
State: optimized geometry

Unit cell a=5.4247 b=5.4247 c=5.4247 alpha=149.16 beta=130.32 gamma=59.63
Last column: nearest neighbours and their distance in Å.
Element x y z (fractional)
1 Br 0.7500 0.2500 0.5000  4 Os 2.63, 4 Mn 2.70, 2 Br 2.88
2 Mn 0.2500 0.7500 0.5000  4 Br 2.70, 2 Mn 2.88, 4 Os 2.89
3 Os 0.9837 0.9837 0.0000  2 Br 2.63, 6 Os 2.71-2.88, 2 Mn 2.89
4 Os 0.5163 0.5163 0.0000  2 Br 2.63, 6 Os 2.71-2.88, 2 Mn 2.89

ΔE to the lowest computed polymorph: 411.5 meV per atom
spin magnetization: 3.251 μB per formula unit
ΔE_f (raw): 0.99 eV/atom
space-group type: Immm (71)
raw total energy: -0.5393 Ry/atom

Material: Mn3OsBr
Method: DFT, GGA-PBE
State: optimized geometry

Unit cell a=4.8308 b=4.8308 c=4.8308 alpha=90.00 beta=90.00 gamma=90.00
Last column: nearest neighbours and their distance in Å.
Element x y z (fractional)
1 Mn 0.0000 0.5000 0.0000  2 Os 2.42
2 Mn 0.0000 0.0000 0.5000  2 Os 2.42
3 Mn 0.5000 0.0000 0.0000  2 Os 2.42
4 Os 0.0000 0.0000 0.0000  6 Mn 2.42
5 Br 0.5000 0.5000 0.5000  12 Mn 3.42

spin magnetization: 11.331 μB per formula unit
ΔE_f (raw): 1.05 eV/atom
space-group type: Pm-3m (221)
raw total energy: -0.5170 Ry/atom

Material: MnOsBr
Method: DFT, GGA-PBE
State: optimized geometry

Unit cell a=7.6779 b=7.4134 c=2.9369 alpha=83.89 beta=73.75 gamma=22.35
Last column: nearest neighbours and their distance in Å.
Element x y z (fractional)
1 Br 0.0298 0.0298 0.9702  2 Mn 2.54
2 Mn 0.6697 0.6697 0.3303  2 Os 2.43, 2 Br 2.54
3 Os 0.3005 0.3005 0.6995  2 Mn 2.43

ΔE to the lowest computed polymorph: 146.0 meV per atom
spin magnetization: 3.497 μB per formula unit
ΔE_f (raw): 0.77 eV/atom
space-group type: Fmm2 (42)
raw total energy: -0.4841 Ry/atom

Material: MnOs2Br
Method: DFT, GGA-PBE
State: optimized geometry

Unit cell a=4.3370 b=4.3370 c=4.3370 alpha=112.78 beta=112.78 gamma=103.04
Last column: nearest neighbours and their distance in Å.
Element x y z (fractional)
1 Br 0.5000 0.5000 0.0000  6 Os 2.70-2.75, 4 Mn 2.75
2 Mn 0.7500 0.2500 0.5000  6 Os 2.70-2.75, 4 Br 2.75
3 Os 0.0000 0.0000 0.0000  2 Br 2.70, 4 Os 2.75, 4 Mn 2.75
4 Os 0.2500 0.7500 0.5000  2 Mn 2.70, 4 Os 2.75, 4 Br 2.75

ΔE to the lowest computed polymorph: 586.5 meV per atom
spin magnetization: 3.052 μB per formula unit
ΔE_f (raw): 1.16 eV/atom
space-group type: I-4m2 (119)
raw total energy: -0.5265 Ry/atom

Material: MnOsBr
Method: DFT, GGA-PBE
State: optimized geometry

Unit cell a=4.3631 b=4.3631 c=2.9740 alpha=90.00 beta=90.00 gamma=120.00
Last column: nearest neighbours and their distance in Å.
Element x y z (fractional)
1 Br 0.0000 0.0000 0.8335  3 Os 2.52
2 Mn 0.3333 0.6667 0.3332  6 Br 2.92-2.93, 6 Os 2.93, 2 Mn 2.97
3 Os 0.6667 0.3333 0.8333  3 Br 2.52

ΔE to the lowest computed polymorph: 383.3 meV per atom
spin magnetization: 3.480 μB per formula unit
ΔE_f (raw): 1.01 eV/atom
space-group type: P-6m2 (187)
raw total energy: -0.4666 Ry/atom